Material: TmPIrO
Method: DFT, GGA-PBE
State: optimized geometry

The polymorph energy (0 for the lowest one) is 544 meV per atom. The final energy comes out at -7.360 eV per atom.

It has space group Pmc2_1 (No. 26), with a = 4.625 Å, b = 4.249 Å, c = 6.206 Å, α = 90.00°, β = 90.00° and γ = 90.00°. The inequivalent atoms are Tm at (0.000, 0.208, 0.000), P at (0.500, 0.166, 0.699), Ir at (0.500, 0.334, 0.346) and O at (0.000, 0.311, 0.349).


Material: TmPIrO
Method: DFT, GGA-PBE
State: optimized geometry

The polymorph energy (0 for the lowest one) is 0 meV per atom. The final energy comes out at -7.904 eV per atom.

It has space group P4/nmm (No. 129, origin choice 2), with a = 3.930 Å, b = 3.930 Å, c = 7.875 Å, α = 90.00°, β = 90.00° and γ = 90.00°. The inequivalent atoms are Tm at (0.250, 0.250, 0.132), P at (0.250, 0.250, 0.668), Ir at (0.250, 0.750, 0.500) and O at (0.250, 0.750, 0.000).


Material: Pa2IrO4
Method: DFT, GGA-PBE
State: optimized geometry

The final energy comes out at -8.188 eV per atom.

It has space group I4_1/amd (No. 141, origin choice 2), with a = 7.131 Å, b = 7.131 Å, c = 10.070 Å, α = 90.00°, β = 90.00° and γ = 90.00°. The inequivalent atoms are Pa at (0.000, 0.000, 0.000), Ir at (0.000, 0.250, 0.375) and O at (0.000, 0.044, 0.772).


Material: IrPbO3
Method: DFT, GGA-PBE
State: optimized geometry

The final energy comes out at -6.241 eV per atom.

It has space group Imma (No. 74), with a = 5.576 Å, b = 7.949 Å, c = 5.696 Å, α = 90.00°, β = 90.00° and γ = 90.00°. The inequivalent atoms are Ir at (0.000, 0.000, 0.000), Pb at (0.000, 0.250, 0.486), O at (0.000, 0.250, 0.910) and O at (0.250, 0.058, 0.250).